A plane-wave DFT calculation with PBE was carried out for a geometry-optimized V5Cr2Ga4 structure.

Cell: 2.568 6.666 8.761 Å, 85.76 90.00 90.00°
Element x y z (fractional)
V 0.000 0.426 0.288
V 0.000 0.799 0.175
V 0.000 0.500 0.000
V 0.000 0.201 0.825
V 0.000 0.574 0.712
Cr 0.000 0.942 0.633
Cr 0.000 0.058 0.367
Ga 0.500 0.292 0.556
Ga 0.500 0.836 0.896
Ga 0.500 0.708 0.444
Ga 0.500 0.164 0.104

Output
**Total energy**: -7.01 eV/atom
**Symmetry**: No. 10
**Crystal system**: monoclinic